# RbNaVO3

Crystalline RbNaVO3 at its relaxed geometry (PBE with a Hubbard U, the Alexandria database).

a b c (Å): 10.301 7.378 7.928
angles (deg): 90.00 126.07 90.00
Space group C2/m (No. 12)
One atom of each set of equivalent atoms:
Rb 0.186 0.000 0.039
Na 0.000 0.197 0.500
V 0.084 0.500 0.210
O 0.004 0.305 0.233
O 0.217 0.000 0.702

Output
Raw total energy (eV per cell): -140.6
Total moment (μB per formula unit): 0.034
DOS(E_F) (states/eV/cell): 0.000
ρ (g/cm3): 2.83
Crystal system: monoclinic